A | The following is a PBE calculation of a geometry-optimized Pm3Pr2Y2 structure, from Alexandria.

a = 3.554 Å, b = 8.826 Å, c = 9.053 Å
α = 118.52°, β = 101.32°, γ = 90.00°
Fractional positions:
Pm (0.000, 0.500, 0.000)
Pm (0.213, 0.806, 0.426)
Pm (0.787, 0.194, 0.574)
Pr (0.854, 0.675, 0.708)
Pr (0.146, 0.325, 0.292)
Y (0.564, 0.905, 0.129)
Y (0.436, 0.095, 0.871)

B | The following is a PBE calculation of a geometry-optimized Pm3Pr2Y2 structure, from Alexandria.

a = 3.652 Å, b = 10.956 Å, c = 8.144 Å
α = 94.29°, β = 47.72°, γ = 90.00°
Fractional positions:
Pm (0.000, 0.000, 0.000)
Pm (0.572, 0.570, 0.285)
Pm (0.428, 0.430, 0.715)
Pr (0.145, 0.144, 0.570)
Pr (0.855, 0.856, 0.430)
Y (0.288, 0.288, 0.141)
Y (0.712, 0.712, 0.859)

Stability, lowest: A

A | The following is a PBE calculation of a geometry-optimized Pm5Pr4Y structure, from Alexandria.

a = 3.675 Å, b = 7.329 Å, c = 13.244 Å
α = 98.17°, β = 97.98°, γ = 90.00°
Fractional positions:
Pm (0.700, 0.600, 0.399)
Pm (0.901, 0.201, 0.802)
Pm (0.099, 0.799, 0.198)
Pm (0.500, 0.500, 0.000)
Pm (0.300, 0.400, 0.601)
Pr (0.301, 0.901, 0.601)
Pr (0.901, 0.700, 0.802)
Pr (0.699, 0.099, 0.399)
Pr (0.099, 0.300, 0.198)
Y (0.500, 0.000, 0.000)

B | The following is a PBE calculation of a geometry-optimized Pm5Pr4Y structure, from Alexandria.

a = 5.888 Å, b = 10.897 Å, c = 10.897 Å
α = 90.00°, β = 90.00°, γ = 90.00°
Fractional positions:
Pm (0.165, 0.838, 0.838)
Pm (0.165, 0.162, 0.838)
Pm (0.000, 0.500, 0.000)
Pm (0.165, 0.838, 0.162)
Pm (0.165, 0.162, 0.162)
Pm (0.835, 0.662, 0.338)
Pm (0.835, 0.338, 0.338)
Pm (0.000, 0.000, 0.500)
Pm (0.835, 0.338, 0.662)
Pm (0.835, 0.662, 0.662)
Pr (0.632, 0.000, 0.705)
Pr (0.632, 0.705, 0.000)
Pr (0.632, 0.295, 0.000)
Pr (0.632, 0.000, 0.295)
Pr (0.368, 0.500, 0.205)
Pr (0.368, 0.795, 0.500)
Pr (0.368, 0.205, 0.500)
Pr (0.368, 0.500, 0.795)
Y (0.640, 0.000, 0.000)
Y (0.360, 0.500, 0.500)

Stability, lowest: B

A | The following is a PBE calculation of a geometry-optimized Pm3Pr3Y8 structure, from Alexandria.

a = 5.749 Å, b = 9.845 Å, c = 9.845 Å
α = 103.23°, β = 73.02°, γ = 73.02°
Fractional positions:
Pm (0.500, 0.000, 0.000)
Pm (0.000, 0.813, 0.187)
Pm (0.000, 0.187, 0.813)
Pr (0.500, 0.500, 0.500)
Pr (0.807, 0.193, 0.193)
Pr (0.193, 0.807, 0.807)
Y (0.661, 0.119, 0.559)
Y (0.339, 0.881, 0.441)
Y (0.661, 0.559, 0.119)
Y (0.339, 0.441, 0.881)
Y (0.839, 0.763, 0.558)
Y (0.161, 0.237, 0.442)
Y (0.839, 0.558, 0.763)
Y (0.161, 0.442, 0.237)

B | The following is a PBE calculation of a geometry-optimized Pm3Pr3Y8 structure, from Alexandria.

a = 5.756 Å, b = 9.846 Å, c = 9.846 Å
α = 103.08°, β = 72.96°, γ = 72.96°
Fractional positions:
Pm (0.500, 0.500, 0.500)
Pm (0.804, 0.197, 0.197)
Pm (0.196, 0.803, 0.803)
Pr (0.500, 0.000, 0.000)
Pr (0.000, 0.814, 0.186)
Pr (0.000, 0.186, 0.814)
Y (0.662, 0.119, 0.558)
Y (0.338, 0.881, 0.442)
Y (0.662, 0.558, 0.119)
Y (0.338, 0.442, 0.881)
Y (0.839, 0.763, 0.559)
Y (0.161, 0.237, 0.441)
Y (0.839, 0.559, 0.763)
Y (0.161, 0.441, 0.237)

Stability, lowest: A

A | The following is a PBE calculation of a geometry-optimized Pm5Pr2Y2 structure, from Alexandria.

a = 3.643 Å, b = 15.479 Å, c = 14.141 Å
α = 24.07°, β = 97.37°, γ = 90.02°
Fractional positions:
Pm (0.002, 0.671, 0.999)
Pm (0.998, 0.329, 0.001)
Pm (0.334, 0.115, 0.667)
Pm (0.666, 0.885, 0.333)
Pm (0.000, 0.000, 0.000)
Pr (0.334, 0.777, 0.665)
Pr (0.666, 0.223, 0.335)
Y (0.332, 0.443, 0.666)
Y (0.668, 0.557, 0.334)

B | The following is a PBE calculation of a geometry-optimized Pm5Pr2Y2 structure, from Alexandria.

a = 12.071 Å, b = 6.863 Å, c = 10.250 Å
α = 109.56°, β = 126.08°, γ = 90.00°
Fractional positions:
Pm (0.198, 0.656, 0.895)
Pm (0.802, 0.761, 0.105)
Pm (0.197, 0.156, 0.895)
Pm (0.803, 0.261, 0.105)
Pm (0.375, 0.034, 0.286)
Pm (0.625, 0.747, 0.714)
Pm (0.412, 0.534, 0.286)
Pm (0.588, 0.247, 0.714)
Pm (0.014, 0.654, 0.500)
Pm (0.986, 0.154, 0.500)
Pr (0.000, 0.028, 0.000)
Pr (0.500, 0.528, 0.000)
Pr (0.253, 0.341, 0.500)
Pr (0.747, 0.841, 0.500)
Y (0.130, 0.683, 0.252)
Y (0.870, 0.431, 0.748)
Y (0.622, 0.183, 0.252)
Y (0.378, 0.931, 0.748)

Stability, lowest: B

A | The following is a PBE calculation of a geometry-optimized Pm3Pr2Y6 structure, from Alexandria.

a = 6.216 Å, b = 6.224 Å, c = 11.791 Å
α = 84.94°, β = 79.82°, γ = 60.04°
Fractional positions:
Pm (0.000, 0.000, 0.000)
Pm (0.336, 0.328, 0.000)
Pm (0.664, 0.672, 0.000)
Pr (0.167, 0.666, 0.500)
Pr (0.833, 0.334, 0.500)
Y (0.416, 0.667, 0.750)
Y (0.749, 0.000, 0.751)
Y (0.084, 0.333, 0.750)
Y (0.251, 0.000, 0.249)
Y (0.584, 0.333, 0.250)
Y (0.916, 0.667, 0.250)

B | The following is a PBE calculation of a geometry-optimized Pm3Pr2Y6 structure, from Alexandria.

a = 4.794 Å, b = 4.794 Å, c = 17.209 Å
α = 98.01°, β = 98.01°, γ = 90.00°
Fractional positions:
Pm (0.000, 0.000, 0.000)
Pm (0.800, 0.800, 0.600)
Pm (0.200, 0.200, 0.400)
Pr (0.454, 0.454, 0.908)
Pr (0.546, 0.546, 0.092)
Y (0.122, 0.622, 0.243)
Y (0.622, 0.122, 0.243)
Y (0.878, 0.378, 0.757)
Y (0.378, 0.878, 0.757)
Y (0.698, 0.698, 0.396)
Y (0.302, 0.302, 0.604)

Stability, lowest: B

A | The following is a PBE calculation of a geometry-optimized Pm3PrY4 structure, from Alexandria.

a = 6.354 Å, b = 7.365 Å, c = 11.601 Å
α = 90.00°, β = 90.00°, γ = 90.00°
Fractional positions:
Pm (0.649, 0.626, 0.000)
Pm (0.980, 0.626, 0.250)
Pm (0.480, 0.374, 0.250)
Pm (0.149, 0.374, 0.500)
Pm (0.480, 0.374, 0.750)
Pm (0.980, 0.626, 0.750)
Pr (0.149, 0.375, 0.000)
Pr (0.649, 0.625, 0.500)
Y (0.147, 0.877, 0.000)
Y (0.647, 0.123, 0.000)
Y (0.982, 0.123, 0.251)
Y (0.482, 0.877, 0.249)
Y (0.147, 0.877, 0.500)
Y (0.647, 0.123, 0.500)
Y (0.482, 0.877, 0.751)
Y (0.982, 0.123, 0.749)

B | The following is a PBE calculation of a geometry-optimized Pm3PrY4 structure, from Alexandria.

a = 3.630 Å, b = 6.275 Å, c = 11.916 Å
α = 100.21°, β = 90.00°, γ = 90.00°
Fractional positions:
Pr (0.500, 0.000, 0.000)
Y (0.000, 0.749, 0.749)
Y (0.500, 0.250, 0.749)
Y (0.000, 0.251, 0.251)
Y (0.500, 0.750, 0.251)
Pm (0.000, 0.000, 0.500)
Pm (0.500, 0.500, 0.500)
Pm (0.000, 0.500, 0.000)

Stability, lowest: A

A | The following is a PBE calculation of a geometry-optimized PmPr3Y7 structure, from Alexandria.

a = 8.972 Å, b = 10.236 Å, c = 5.595 Å
α = 90.01°, β = 128.53°, γ = 105.87°
Fractional positions:
Pm (0.500, 0.500, 0.500)
Pr (0.216, 0.998, 0.717)
Pr (0.000, 0.500, 0.000)
Pr (0.784, 0.002, 0.283)
Y (0.910, 0.829, 0.910)
Y (0.817, 0.636, 0.317)
Y (0.642, 0.287, 0.142)
Y (0.358, 0.713, 0.858)
Y (0.500, 0.000, 0.500)
Y (0.183, 0.364, 0.683)
Y (0.090, 0.171, 0.090)

B | The following is a PBE calculation of a geometry-optimized PmPr3Y7 structure, from Alexandria.

a = 8.780 Å, b = 7.158 Å, c = 7.158 Å
α = 120.00°, β = 90.00°, γ = 90.00°
Fractional positions:
Pm (0.445, 0.333, 0.667)
Pr (0.784, 0.500, 0.500)
Pr (0.784, 0.500, 0.000)
Pr (0.784, 0.000, 0.500)
Y (0.120, 0.167, 0.833)
Y (0.120, 0.167, 0.335)
Y (0.122, 0.667, 0.333)
Y (0.446, 0.833, 0.167)
Y (0.446, 0.335, 0.167)
Y (0.446, 0.833, 0.665)
Y (0.120, 0.665, 0.833)

Stability, lowest: B

A | The following is a PBE calculation of a geometry-optimized Pm4PrY3 structure, from Alexandria.

a = 3.487 Å, b = 6.880 Å, c = 12.073 Å
α = 106.13°, β = 98.30°, γ = 90.00°
Fractional positions:
Pr (0.500, 0.000, 0.000)
Y (0.000, 0.500, 0.000)
Y (0.125, 0.882, 0.250)
Y (0.875, 0.118, 0.750)
Pm (0.741, 0.239, 0.481)
Pm (0.259, 0.761, 0.519)
Pm (0.125, 0.371, 0.250)
Pm (0.875, 0.629, 0.750)

B | The following is a PBE calculation of a geometry-optimized Pm4PrY3 structure, from Alexandria.

a = 6.370 Å, b = 7.378 Å, c = 11.648 Å
α = 90.00°, β = 90.00°, γ = 90.00°
Fractional positions:
Pm (0.147, 0.873, 0.000)
Pm (0.653, 0.126, 0.000)
Pm (0.980, 0.124, 0.253)
Pm (0.480, 0.876, 0.247)
Pm (0.153, 0.874, 0.500)
Pm (0.647, 0.127, 0.500)
Pm (0.480, 0.876, 0.753)
Pm (0.980, 0.124, 0.747)
Pr (0.145, 0.373, 0.000)
Pr (0.645, 0.627, 0.500)
Y (0.646, 0.624, 0.000)
Y (0.981, 0.624, 0.250)
Y (0.481, 0.376, 0.250)
Y (0.146, 0.376, 0.500)
Y (0.481, 0.376, 0.750)
Y (0.981, 0.624, 0.750)

Stability, lowest: A

A | The following is a PBE calculation of a geometry-optimized Pm2Pr2Y3 structure, from Alexandria.

a = 5.156 Å, b = 6.284 Å, c = 9.611 Å
α = 57.01°, β = 74.44°, γ = 65.78°
Fractional positions:
Pm (0.071, 0.570, 0.288)
Pm (0.929, 0.430, 0.712)
Pr (0.214, 0.715, 0.856)
Pr (0.786, 0.285, 0.144)
Y (0.500, 0.000, 0.000)
Y (0.357, 0.857, 0.428)
Y (0.643, 0.143, 0.572)

B | The following is a PBE calculation of a geometry-optimized Pm2Pr2Y3 structure, from Alexandria.

a = 3.525 Å, b = 8.921 Å, c = 8.751 Å
α = 116.14°, β = 101.62°, γ = 90.00°
Fractional positions:
Pm (0.639, 0.908, 0.278)
Pm (0.361, 0.092, 0.722)
Pr (0.921, 0.796, 0.843)
Pr (0.079, 0.204, 0.157)
Y (0.000, 0.500, 0.000)
Y (0.220, 0.646, 0.440)
Y (0.780, 0.354, 0.560)

Stability, lowest: B

A | The following is a PBE calculation of a geometry-optimized Pm5Pr5Y structure, from Alexandria.

a = 6.276 Å, b = 6.276 Å, c = 11.677 Å
α = 90.00°, β = 90.00°, γ = 120.00°
Fractional positions:
Pm (0.667, 0.333, 0.159)
Pm (0.667, 0.333, 0.841)
Pm (0.333, 0.667, 0.318)
Pm (0.333, 0.667, 0.682)
Pm (0.000, 0.000, 0.000)
Pr (0.340, 0.170, 0.500)
Pr (0.000, 0.000, 0.263)
Pr (0.830, 0.660, 0.500)
Pr (0.830, 0.170, 0.500)
Pr (0.000, 0.000, 0.737)
Y (0.333, 0.667, 0.000)

B | The following is a PBE calculation of a geometry-optimized Pm5Pr5Y structure, from Alexandria.

a = 6.263 Å, b = 6.263 Å, c = 11.739 Å
α = 90.00°, β = 90.00°, γ = 120.00°
Fractional positions:
Pm (0.338, 0.169, 0.500)
Pm (0.000, 0.000, 0.265)
Pm (0.831, 0.662, 0.500)
Pm (0.831, 0.169, 0.500)
Pm (0.000, 0.000, 0.735)
Pr (0.667, 0.333, 0.157)
Pr (0.667, 0.333, 0.843)
Pr (0.333, 0.667, 0.318)
Pr (0.333, 0.667, 0.682)
Pr (0.000, 0.000, 0.000)
Y (0.333, 0.667, 0.000)

Stability, lowest: A